1.
20
Lattice="-1.869 -0.867 3.712 10.142 -7.602 3.331 2.502 11.782 4.012" Properties=species:S:1:pos:R:3 comment="Ac6InNi3 PBE relaxed" magmom_total_mub_per_cell=0.00 delta_e_f_ev_per_atom=-0.194 vol_a3_per_cell=672.46 sg="P2_1/m (11)" pbc="T T T"
Ac 4.732 2.952 4.286
Ac 6.043 0.361 6.768
Ac 9.049 -6.224 4.316
Ac 1.726 9.538 6.738
Ac 10.686 -0.198 6.548
Ac 0.089 3.511 4.506
Ac 7.822 -2.369 4.598
Ac 2.953 5.682 6.456
Ac 7.031 5.805 6.110
Ac 3.744 -2.491 4.944
Ac 2.448 0.338 2.525
Ac 8.327 2.975 8.529
In 4.982 8.585 5.727
In 5.793 -5.271 5.327
Ni 2.513 4.933 3.631
Ni 8.262 -1.620 7.423
Ni 5.512 -0.203 3.942
Ni 5.263 3.516 7.112
Ni 10.960 2.798 7.386
Ni -0.185 0.515 3.668

=====

2.
4
Lattice="3.797 0.000 0.000 0.000 3.797 0.000 0.000 0.000 8.242" Properties=species:S:1:pos:R:3 comment="Ac2InNi PBE relaxed" magmom_total_mub_per_cell=0.00 delta_e_f_ev_per_atom=-0.266 vol_a3_per_cell=118.83 sg="P4/mmm (123)" pbc="T T T"
Ni 1.899 1.899 0.000
Ac 0.000 0.000 6.469
Ac 0.000 0.000 1.773
In 1.899 1.899 4.121

=====

3.
18
Lattice="-4.810 1.119 -1.226 -2.128 -8.380 0.699 -1.865 1.173 8.390" Properties=species:S:1:pos:R:3 comment="AcIn4Ni4 PBE relaxed" magmom_total_mub_per_cell=0.00 delta_e_f_ev_per_atom=-0.109 vol_a3_per_cell=382.91 sg="P4_2/n (86)" pbc="T T T"
Ac 0.000 0.000 0.000
Ac -4.402 -3.044 3.932
In -4.332 -1.464 7.190
In -7.230 -3.135 6.475
In -3.520 -4.846 0.916
In -1.935 -0.407 5.132
In -5.975 -5.997 5.319
In -3.010 -6.579 3.714
In -5.431 -2.055 0.405
In -3.781 0.130 2.301
Ni -5.244 -5.721 2.680
Ni -4.521 -0.144 4.938
Ni -3.554 -6.115 6.251
Ni -6.556 -0.608 6.158
Ni -6.097 -4.584 0.724
Ni -3.001 -2.176 1.339
Ni -4.841 -4.136 6.769
Ni -1.401 -0.868 2.593

=====

4.
4
Lattice="4.576 0.004 0.002 2.288 5.360 -0.065 2.289 1.828 5.039" Properties=species:S:1:pos:R:3 comment="Ac2InNi PBE relaxed" magmom_total_mub_per_cell=0.00 delta_e_f_ev_per_atom=-0.226 vol_a3_per_cell=124.07 sg="Imm2 (44)" pbc="T T T"
Ac 2.290 4.865 0.011
Ac 4.574 3.699 2.978
In 2.288 1.587 1.548
Ni 6.864 5.997 2.860

=====

5.
6
Lattice="4.606 0.000 1.929 2.137 5.731 1.361 0.037 -0.306 6.376" Properties=species:S:1:pos:R:3 comment="Ac2In3Ni PBE relaxed" magmom_total_mub_per_cell=0.00 delta_e_f_ev_per_atom=-0.382 vol_a3_per_cell=168.57 sg="Cm (8)" pbc="T T T"
Ac 2.950 0.920 5.884
Ac 3.774 4.617 3.917
In 5.298 3.208 6.742
In 4.284 1.424 2.700
In 2.393 4.021 7.213
Ni 1.642 2.086 2.543

=====

6.
8
Lattice="4.172 0.000 1.381 1.466 6.272 2.564 0.020 -0.005 6.933" Properties=species:S:1:pos:R:3 comment="AcIn5Ni2 PBE relaxed" magmom_total_mub_per_cell=0.00 delta_e_f_ev_per_atom=-0.295 vol_a3_per_cell=181.28 sg="Immm (71)" pbc="T T T"
Ac 0.000 0.000 0.000
In 0.743 3.133 4.748
In 3.535 3.371 3.307
In 2.124 2.896 7.570
In 2.688 5.346 5.865
In 2.970 0.921 5.012
Ni 4.267 4.645 8.086
Ni 1.391 1.622 2.791

=====

7.
18
Lattice="-3.605 2.333 -0.210 -0.086 -4.574 -5.326 -6.419 -9.197 8.003" Properties=species:S:1:pos:R:3 comment="AcIn5Ni3 PBE relaxed" magmom_total_mub_per_cell=0.00 delta_e_f_ev_per_atom=-0.173 vol_a3_per_cell=395.95 sg="Cmcm (63)" pbc="T T T"
Ac -7.861 -7.977 2.318
Ac -2.249 -3.462 0.148
In -5.649 -4.751 0.187
In -6.760 -9.981 5.145
In -3.210 -4.599 4.001
In 0.000 0.000 0.000
In -2.653 -4.427 -3.637
In -7.457 -7.011 6.103
In -6.185 -5.188 4.517
In -3.350 -1.457 -2.679
In -4.461 -6.688 2.279
In -3.926 -6.251 -2.051
Ni -7.698 -11.586 3.416
Ni -4.772 -3.595 -2.029
Ni -4.930 -7.620 -0.035
Ni -5.181 -3.818 2.501
Ni -5.338 -7.844 4.495
Ni -2.413 0.147 -0.950

=====

8.
5
Lattice="-3.367 -1.532 -2.981 3.184 0.305 -3.754 0.010 -5.475 2.804" Properties=species:S:1:pos:R:3 comment="AcIn3Ni PBE relaxed" magmom_total_mub_per_cell=0.00 delta_e_f_ev_per_atom=-0.239 vol_a3_per_cell=132.03 sg="Amm2 (38)" pbc="T T T"
Ac -1.552 -1.203 -1.414
In 1.715 -0.255 -1.806
In 0.858 -2.850 0.496
In 0.705 -3.262 -2.906
Ni -0.517 -4.644 -0.815

=====

9.
18
Lattice="8.586 0.070 -3.335 -4.409 7.614 -2.727 -0.060 -0.070 9.211" Properties=species:S:1:pos:R:3 comment="Ac12InNi5 PBE relaxed" magmom_total_mub_per_cell=0.00 delta_e_f_ev_per_atom=-0.204 vol_a3_per_cell=600.85 sg="Immm (71)" pbc="T T T"
Ac 0.728 6.223 2.432
Ac 3.390 1.391 0.718
Ac 6.649 1.391 2.964
Ac -2.532 6.223 0.185
Ac 2.903 5.167 -0.790
Ac 1.214 2.448 3.940
Ac -0.355 5.096 6.216
Ac 4.472 2.518 -3.067
Ac 4.229 4.697 2.987
Ac -0.112 2.917 0.162
Ac -2.810 7.472 4.077
Ac 6.928 0.142 -0.928
In -2.234 3.772 3.242
Ni 2.615 4.810 -3.794
Ni 1.563 2.875 -2.268
Ni 3.727 0.905 3.716
Ni 0.390 6.710 -0.566
Ni 0.000 0.000 0.000

=====

10.
11
Lattice="5.945 0.000 -3.406 -1.952 5.616 -3.406 -0.023 -0.033 6.850" Properties=species:S:1:pos:R:3 comment="AcIn6Ni4 PBE relaxed" magmom_total_mub_per_cell=0.00 delta_e_f_ev_per_atom=-0.264 vol_a3_per_cell=227.39 sg="I-42m (121)" pbc="T T T"
Ac 1.973 2.775 3.444
In -0.645 2.174 1.414
In 2.265 0.104 1.414
In 2.424 3.409 -0.121
In -0.976 2.808 -1.703
In 3.896 5.478 -2.632
In 2.973 0.000 -1.703
Ni -0.986 4.273 2.944
Ni 3.635 5.111 -5.213
Ni 4.360 0.471 2.944
Ni 0.931 1.310 -0.601

=====

11.
12
Lattice="-4.141 1.945 2.091 -4.412 -2.365 -0.488 -1.297 -4.515 7.683" Properties=species:S:1:pos:R:3 comment="Ac2InNi9 PBE relaxed" magmom_total_mub_per_cell=1.18 delta_e_f_ev_per_atom=-0.087 vol_a3_per_cell=186.76 sg="R-3m (166)" pbc="T T T"
Ac -7.930 -2.173 4.466
Ac -1.919 -2.762 4.819
In 0.000 0.000 0.000
Ni -7.003 -4.784 8.733
Ni -2.847 -0.151 0.552
Ni -4.925 -2.468 4.643
Ni -3.922 -1.224 2.458
Ni -5.984 -0.255 3.499
Ni -6.120 -2.401 2.215
Ni -5.927 -3.712 6.827
Ni -3.730 -2.534 7.071
Ni -3.865 -4.680 5.786

=====

12.
18
Lattice="-1.940 -6.011 0.966 2.613 0.094 5.831 -7.569 2.981 3.344" Properties=species:S:1:pos:R:3 comment="AcIn4Ni4 PBE relaxed" magmom_total_mub_per_cell=0.00 delta_e_f_ev_per_atom=-0.184 vol_a3_per_cell=359.18 sg="P4_2/nmc (137)" pbc="T T T"
Ac 0.000 0.000 0.000
Ac -3.448 -1.469 5.071
In -5.594 -0.334 7.816
In -6.939 -0.383 4.816
In -1.129 -4.125 4.074
In -0.130 -1.032 3.577
In -3.318 -0.437 1.494
In -4.260 -3.355 1.963
In -4.078 1.895 3.599
In -2.810 1.940 6.430
Ni -5.341 1.405 5.873
Ni -6.560 -2.371 6.480
Ni -0.125 -2.424 5.796
Ni -1.766 -2.483 2.134
Ni -0.710 1.050 5.105
Ni -1.682 1.015 2.937
Ni -5.676 0.107 2.542
Ni -6.398 -2.128 2.902